1.
Density functional theory data (PBE) for a relaxed Tb2PrTi crystal.

```
4
Lattice="1.6973 0.9799 11.9242 -1.6973 0.9799 11.9242 0.0000 -1.9599 11.9242" Properties=species:S:1:pos:R:3 pbc="T T T"
Tb 0.0000 0.0000 2.9387
Tb 0.0000 0.0000 32.8338
Pr 0.0000 0.0000 17.8862
Ti 0.0000 0.0000 0.0000
```

Energy relative to the elements, eV/atom: 0.4459
Crystal system: trigonal
Energy above the most stable polymorph in this dataset, meV/atom: 277.7
Total magnetization, μB per cell: 2.0

2.
Density functional theory data (PBE) for a relaxed PuSI crystal.

```
6
Lattice="7.4630 0.0000 0.0000 0.0000 4.2400 0.0000 -1.6090 0.0000 7.3936" Properties=species:S:1:pos:R:3 pbc="T T T"
Pu 1.6683 1.0600 0.0119
Pu 4.1857 3.1800 7.3817
S 0.6555 3.1800 1.2818
S 5.1985 1.0600 6.1118
I 1.5625 3.1800 5.5120
I 4.2915 1.0600 1.8816
```

Crystal system: monoclinic
Energy above the most stable polymorph in this dataset, meV/atom: 106.2
Total magnetization, μB per cell: 10.0

3.
Density functional theory data (PBE) for a relaxed CaPrCuN2 crystal.

```
10
Lattice="5.5485 0.0000 0.0000 0.0000 4.9788 0.0000 -0.0341 0.0000 6.7053" Properties=species:S:1:pos:R:3 pbc="T T T"
Ca -0.0085 0.0045 1.6763
Ca -0.0256 4.9742 5.0289
Pr 2.7486 2.4746 5.0289
Pr 2.7657 2.5042 1.6763
Cu 0.0000 2.4894 0.0000
Cu -0.0171 2.4894 3.3526
N 1.4133 1.2853 0.0063
N 1.3962 3.6934 3.3589
N 4.1181 1.2853 3.3464
N 4.1010 3.6934 6.6990
```

Total energy, eV per atom: -6.14
Crystal system: monoclinic
Total magnetization, μB per cell: 0.0

4.
Density functional theory data (PBE) for a relaxed Th2CdGa3Pt4 crystal.

```
10
Lattice="4.1242 0.0000 0.0000 0.0000 4.1242 0.0000 0.0000 0.0000 11.7374" Properties=species:S:1:pos:R:3 pbc="T T T"
Th 0.0000 2.0621 2.8250
Th 2.0621 0.0000 8.9124
Cd 0.0000 0.0000 5.8687
Ga 0.0000 2.0621 10.2604
Ga 2.0621 0.0000 1.4770
Ga 2.0621 2.0621 5.8687
Pt 0.0000 0.0000 0.0000
Pt 0.0000 2.0621 7.7707
Pt 2.0621 0.0000 3.9667
Pt 2.0621 2.0621 0.0000
```

Energy relative to the elements, eV/atom: -0.8660
Crystal system: tetragonal
Total magnetization, μB per cell: 0.0

5.
Density functional theory data (PBE) for a relaxed HoSi2Pd2 crystal.

```
5
Lattice="-2.0734 2.0734 4.9770 2.0734 -2.0734 4.9770 2.0734 2.0734 -4.9770" Properties=species:S:1:pos:R:3 pbc="T T T"
Ho 0.0000 0.0000 0.0000
Si 0.0000 0.0000 3.8210
Si 0.0000 0.0000 6.1330
Pd 2.0734 0.0000 2.4885
Pd 0.0000 2.0734 2.4885
```

Total energy, eV per atom: -6.10
Crystal system: tetragonal
Total magnetization, μB per cell: 0.0

6.
Density functional theory data (PBE) for a relaxed CuHPtRh2 crystal.

```
5
Lattice="3.8784 0.0000 0.0000 0.0000 3.8784 0.0000 0.0000 0.0000 3.9190" Properties=species:S:1:pos:R:3 pbc="T T T"
Cu 0.0000 0.0000 0.0000
H 0.0000 0.0000 1.9595
Pt 1.9392 1.9392 0.0000
Rh 0.0000 1.9392 1.9595
Rh 1.9392 0.0000 1.9595
```

Crystal system: tetragonal
Energy above the most stable polymorph in this dataset, meV/atom: 0.0
Total magnetization, μB per cell: 0.0

7.
Density functional theory data (PBE) for a relaxed Os2RuRh crystal.

```
4
Lattice="-1.9266 1.9266 3.8189 1.9266 -1.9266 3.8189 1.9266 1.9266 -3.8189" Properties=species:S:1:pos:R:3 pbc="T T T"
Os 0.0000 0.0000 0.0000
Os 0.0000 1.9266 1.9095
Ru 1.9266 0.0000 1.9095
Rh 0.0000 0.0000 3.8189
```

Energy relative to the elements, eV/atom: 0.1106
Crystal system: tetragonal
Energy above the most stable polymorph in this dataset, meV/atom: 25.4
Total magnetization, μB per cell: 0.0

8.
Density functional theory data (PBE) for a relaxed Li2LaHoAu4 crystal.

```
8
Lattice="2.3053 1.3309 9.3180 -2.3053 1.3309 9.3180 0.0000 -2.6619 9.3180" Properties=species:S:1:pos:R:3 pbc="T T T"
Li 0.0000 0.0000 6.8086
Li 0.0000 0.0000 21.1455
La 0.0000 0.0000 0.0000
Ho 0.0000 0.0000 13.9770
Au 0.0000 0.0000 3.2204
Au 0.0000 0.0000 11.0209
Au 0.0000 0.0000 16.9332
Au 0.0000 0.0000 24.7336
```

Energy relative to the elements, eV/atom: -0.7209
Crystal system: trigonal
Total magnetization, μB per cell: 0.0

9.
Density functional theory data (PBE) for a relaxed DyTmHgRu crystal.

```
4
Lattice="0.0000 3.5323 3.5323 3.5323 0.0000 3.5323 3.5323 3.5323 0.0000" Properties=species:S:1:pos:R:3 pbc="T T T"
Dy 0.0000 0.0000 0.0000
Tm 3.5323 3.5323 3.5323
Hg 5.2985 5.2985 5.2985
Ru 1.7662 1.7662 1.7662
```

Energy relative to the elements, eV/atom: -0.3780
Crystal system: cubic
Energy above the most stable polymorph in this dataset, meV/atom: 133.3
Total magnetization, μB per cell: 0.0

10.
Density functional theory data (PBE) for a relaxed In2Co crystal.

```
3
Lattice="3.1979 0.0000 0.0000 -1.5989 2.7694 0.0000 0.0000 0.0000 6.6083" Properties=species:S:1:pos:R:3 pbc="T T T"
In 0.0000 1.8463 1.3600
In 1.5989 0.9231 5.2484
Co 0.0000 0.0000 3.3042
```

Energy relative to the elements, eV/atom: 0.2697
Crystal system: trigonal
Total magnetization, μB per cell: 1.0

11.
Density functional theory data (PBE) for a relaxed TaTlAs2 crystal.

```
8
Lattice="-3.3451 3.3451 5.7682 3.3451 -3.3451 5.7682 3.3451 3.3451 -5.7682" Properties=species:S:1:pos:R:3 pbc="T T T"
Ta 0.0000 0.0000 0.0000
Ta 0.0000 3.3451 2.8841
Tl 3.3451 0.0000 2.8841
Tl 0.0000 0.0000 5.7682
As 5.0176 1.1065 -1.4421
As 1.1065 1.6725 1.4421
As -1.6725 2.2386 4.3262
As 2.2386 1.6725 7.2103
```

Energy relative to the elements, eV/atom: 0.1364
Crystal system: tetragonal
Energy above the most stable polymorph in this dataset, meV/atom: 277.3
Total magnetization, μB per cell: 0.0

12.
Density functional theory data (PBE) for a relaxed LaIn2Br5 crystal.

```
32
Lattice="13.5797 0.0000 0.0000 0.0000 9.3040 0.0000 0.0000 0.0000 8.6517" Properties=species:S:1:pos:R:3 pbc="T T T"
La 0.0665 2.3260 0.6829
La 6.7234 6.9780 5.0088
La 6.8563 2.3260 3.6429
La 13.5133 6.9780 7.9688
In 2.3720 9.3026 4.7081
In 2.3720 4.6533 4.7081
In 4.4179 0.0013 0.3822
In 4.4179 4.6507 0.3822
In 9.1618 9.3026 8.2696
In 9.1618 4.6533 8.2696
In 11.2077 0.0013 3.9437
In 11.2077 4.6507 3.9437
Br 0.0773 2.3260 3.7085
Br 1.0824 5.0705 1.4364
Br 1.0824 8.8855 1.4364
Br 2.5063 2.3260 7.6009
Br 2.8384 6.9780 7.2170
Br 3.9514 2.3260 2.8911
Br 4.2836 6.9780 3.2750
Br 5.7075 0.4185 5.7623
Br 5.7075 4.2335 5.7623
Br 6.7125 6.9780 8.0344
Br 6.8672 2.3260 0.6174
Br 7.8722 5.0705 2.8894
Br 7.8722 8.8855 2.8894
Br 9.2962 2.3260 5.3767
Br 9.6283 6.9780 5.7606
Br 10.7413 2.3260 1.4348
Br 11.0734 6.9780 1.0509
Br 12.4973 0.4185 7.2153
Br 12.4973 4.2335 7.2153
Br 13.5024 6.9780 4.9432
```

Total energy, eV per atom: -3.69
Crystal system: orthorhombic
Total magnetization, μB per cell: 0.0

13.
Density functional theory data (PBE) for a relaxed CaTaSi2O8 crystal.

```
12
Lattice="-3.3805 3.3805 2.9872 3.3805 -3.3805 2.9872 3.3805 3.3805 -2.9872" Properties=species:S:1:pos:R:3 pbc="T T T"
Ca 0.0000 0.0000 0.0000
Ta 3.3805 0.0000 1.4936
Si 0.0000 0.0000 2.9872
Si 0.0000 3.3805 1.4936
O 2.0295 3.3805 -0.9558
O 1.3510 0.0000 2.0314
O 0.0000 2.2081 0.3564
O 3.3805 2.0295 0.9558
O 0.0000 4.5529 0.3564
O 0.0000 1.3510 3.9431
O -1.1724 3.3805 2.6309
O 1.1724 3.3805 2.6309
```

Total energy, eV per atom: -7.95
Crystal system: tetragonal
Total magnetization, μB per cell: 0.9

14.
Density functional theory data (PBE) for a relaxed SmMg2As2Pd7 crystal.

```
12
Lattice="2.9380 -2.9282 0.0000 2.9380 2.9282 0.0000 -0.0174 0.0000 12.1319" Properties=species:S:1:pos:R:3 pbc="T T T"
Sm 0.0000 0.0000 0.0000
Mg -0.0032 0.0000 4.0074
Mg 5.8617 0.0000 8.1245
As 2.9190 0.0000 8.3925
As 2.9395 0.0000 3.7394
Pd 1.4681 1.4639 2.1470
Pd 4.3904 -1.4639 9.9849
Pd 1.5877 0.0000 6.0678
Pd 1.4681 -1.4639 2.1470
Pd 4.3904 1.4639 9.9849
Pd 2.9380 0.0000 0.0000
Pd 4.2708 0.0000 6.0642
```

Energy relative to the elements, eV/atom: -0.5643
Crystal system: monoclinic
Total magnetization, μB per cell: 0.0

15.
Density functional theory data (PBE) for a relaxed Ba2LiBeP2 crystal.

```
12
Lattice="-3.0999 7.3314 3.0266 3.0999 -7.3314 3.0266 3.0999 7.3314 -3.0266" Properties=species:S:1:pos:R:3 pbc="T T T"
Ba 1.5355 2.3984 0.0000
Ba 1.5355 -2.3984 3.0266
Ba 1.5644 9.7298 0.0000
Ba 1.5644 4.9330 3.0266
Li 0.0000 0.0000 1.5133
Li 0.0000 0.0000 4.5400
Be 3.0999 0.0000 1.5133
Be 0.0000 7.3314 1.5133
P 4.4487 1.1950 0.0000
P 1.3488 6.1364 0.0000
P 1.7512 1.1950 3.0266
P -1.3488 6.1364 3.0266
```

Energy relative to the elements, eV/atom: -0.6826
Crystal system: orthorhombic
Total magnetization, μB per cell: 1.5

16.
Density functional theory data (PBE) for a relaxed CeH4Rh3 crystal.

```
16
Lattice="5.4450 0.0000 0.0000 0.0000 5.4450 0.0000 0.0000 0.0000 5.4450" Properties=species:S:1:pos:R:3 pbc="T T T"
Ce 0.0000 0.0000 0.0000
Ce 2.7225 2.7225 2.7225
H 1.3612 1.3612 1.3612
H 1.3612 1.3612 4.0837
H 1.3612 4.0837 1.3612
H 1.3612 4.0837 4.0837
H 4.0837 1.3612 1.3612
H 4.0837 1.3612 4.0837
H 4.0837 4.0837 1.3612
H 4.0837 4.0837 4.0837
Rh 0.0000 1.3612 2.7225
Rh 0.0000 4.0837 2.7225
Rh 1.3612 2.7225 0.0000
Rh 2.7225 0.0000 1.3612
Rh 2.7225 0.0000 4.0837
Rh 4.0837 2.7225 0.0000
```

Total energy, eV per atom: -5.49
Crystal system: cubic
Total magnetization, μB per cell: 0.0

17.
Density functional theory data (PBE) for a relaxed Y2CdW crystal.

```
4
Lattice="3.1748 0.0000 0.0000 0.0000 5.2810 0.0000 0.0000 0.0000 5.6121" Properties=species:S:1:pos:R:3 pbc="T T T"
Y 0.0000 0.0000 0.0000
Y 0.0000 2.6405 2.2806
Cd 1.5874 2.6405 4.9536
W 1.5874 0.0000 2.9366
```

Energy relative to the elements, eV/atom: 0.3022
Crystal system: orthorhombic
Total magnetization, μB per cell: 0.0

18.
Density functional theory data (PBE) for a relaxed Na2InHgO4 crystal.

```
8
Lattice="5.7981 0.0000 0.0000 0.0000 3.3622 0.0000 -1.8630 0.0000 5.5466" Properties=species:S:1:pos:R:3 pbc="T T T"
Na 0.0000 0.0000 0.0000
Na 2.8990 1.6811 0.0000
In -0.9315 1.6811 2.7733
Hg 1.9676 0.0000 2.7733
O -0.0102 0.0000 3.9723
O 0.8734 1.6811 1.5115
O 3.0617 1.6811 4.0351
O 3.9453 0.0000 1.5744
```

Total energy, eV per atom: -4.29
Crystal system: monoclinic
Total magnetization, μB per cell: 1.0

19.
Density functional theory data (PBE) for a relaxed Nd6DyY5 crystal.

```
12
Lattice="3.1473 -5.4506 0.0000 3.1473 5.4506 0.0000 -2.0911 0.0000 11.7081" Properties=species:S:1:pos:R:3 pbc="T T T"
Nd 1.0450 1.8126 2.9234
Nd 0.0033 0.0000 8.7858
Nd 1.0450 -1.8126 2.9234
Nd 3.1584 1.8126 8.7847
Nd 4.2000 0.0000 2.9223
Nd 3.1584 -1.8126 8.7847
Dy 0.0000 0.0000 0.0000
Y 2.1017 3.6339 5.8540
Y 3.1473 1.8168 0.0000
Y 2.1017 0.0000 5.8540
Y 3.1473 -1.8168 0.0000
Y 2.1017 -3.6339 5.8540
```

Energy relative to the elements, eV/atom: 0.0085
Crystal system: monoclinic
Energy above the most stable polymorph in this dataset, meV/atom: 0.0
Total magnetization, μB per cell: 0.0

20.
Density functional theory data (PBE) for a relaxed Rb3SbS crystal.

```
10
Lattice="4.5947 0.0000 0.0000 2.2668 8.3241 0.0000 0.0294 1.2890 10.9560" Properties=species:S:1:pos:R:3 pbc="T T T"
Rb 1.1540 3.3656 1.4156
Rb 1.1747 1.3475 9.3181
Rb 3.4298 6.0462 3.9687
Rb 3.4612 3.5669 6.9873
Rb 5.7162 8.2656 1.6379
Rb 5.7370 6.2475 9.5404
Sb 1.1633 1.3598 4.8973
Sb 5.7276 8.2533 6.0587
S 3.4201 6.0769 0.8487
S 3.4708 3.5362 10.1073
```

Crystal system: triclinic
Energy above the most stable polymorph in this dataset, meV/atom: 0.0
Total magnetization, μB per cell: 0.0